# Ca2Y2Mg PBE relaxed
# ΔE to the lowest computed polymorph	0	meV/atom
data_Ca2Y2Mg
_symmetry_space_group_name_H-M 'P 1'
_symmetry_Int_Tables_number 1
_symmetry_space_group_name_Hall 'P 1'
_cell_length_a 9.180
_cell_length_b 9.180
_cell_length_c 4.119
_cell_angle_alpha 90.00
_cell_angle_beta 90.00
_cell_angle_gamma 90.00
loop_
_atom_site_label
_atom_site_type_symbol
_atom_site_fract_x
_atom_site_fract_y
_atom_site_fract_z
_atom_site_occupancy
Y1 Y 0.365 0.865 0.000 1
Y2 Y 0.865 0.635 0.000 1
Y3 Y 0.635 0.135 0.000 1
Y4 Y 0.135 0.365 0.000 1
Ca1 Ca 0.165 0.665 0.500 1
Ca2 Ca 0.665 0.835 0.500 1
Ca3 Ca 0.835 0.335 0.500 1
Ca4 Ca 0.335 0.165 0.500 1
Mg1 Mg 0.000 0.000 0.000 1
Mg2 Mg 0.500 0.500 0.000 1

=====

Below is a geometry-optimized CaYMg2 structure, with properties calculated at the PBE level.

```
data_CaYMg2
_symmetry_space_group_name_H-M 'P 1'
_symmetry_Int_Tables_number 1
_symmetry_space_group_name_Hall 'P 1'
_cell_length_a 3.586
_cell_length_b 3.586
_cell_length_c 11.183
_cell_angle_alpha 80.77
_cell_angle_beta 80.77
_cell_angle_gamma 60.00
loop_
_atom_site_label
_atom_site_type_symbol
_atom_site_fract_x
_atom_site_fract_y
_atom_site_fract_z
_atom_site_occupancy
Ca1 Ca 0.667 0.667 0.998 1
Y1 Y 0.499 0.499 0.502 1
Mg1 Mg 0.086 0.086 0.743 1
Mg2 Mg 0.248 0.248 0.257 1
```

=====

no.,M_tot (μB/f.u.),DFT formation energy (eV per atom)
1,0.0,0.321
2,0.0,0.058